1.
VASP calculation (PBE) on a relaxed KLiAg2 crystal.

Energy above the most stable polymorph in this dataset = 193 meV per atom
ΔE_f = 0.14 eV per atom

Cell and atoms, written as POSCAR:
```
KLiAg2
1.0
-4.133 4.133 2.972
4.133 -4.133 2.972
4.133 4.133 -2.972
K Li Ag
2 2 4
Cartesian
0.000 0.000 0.000
0.000 4.133 1.486
4.133 0.000 1.486
0.000 0.000 2.972
2.067 -1.633 2.229
2.500 2.067 0.743
2.067 5.766 -0.743
1.633 2.067 3.715
```

2.
VASP calculation (PBE) on a relaxed KLi2Ag2 crystal.

Energy above the most stable polymorph in this dataset = 65 meV per atom
ΔE_f = 0.01 eV per atom

Cell and atoms, written as POSCAR:
```
KLi2Ag2
1.0
-2.419 2.419 5.485
2.419 -2.419 5.485
2.419 2.419 -5.485
K Li Ag
1 2 2
Cartesian
0.000 0.000 0.000
0.000 0.000 3.805
0.000 0.000 7.166
2.419 0.000 2.743
0.000 2.419 2.743
```

3.
VASP calculation (PBE) on a relaxed KLiAg crystal.

Energy above the most stable polymorph in this dataset = 455 meV per atom
ΔE_f = 0.44 eV per atom

Cell and atoms, written as POSCAR:
```
KLiAg
1.0
0.000 3.812 3.812
3.812 0.000 3.812
3.812 3.812 0.000
K Li Ag
1 1 1
Cartesian
0.000 0.000 0.000
1.906 1.906 1.906
5.718 5.718 5.718
```

4.
VASP calculation (PBE) on a relaxed KLi2Ag2 crystal.

Energy above the most stable polymorph in this dataset = 0 meV per atom
ΔE_f = -0.05 eV per atom

Cell and atoms, written as POSCAR:
```
KLi2Ag2
1.0
8.438 0.000 0.000
0.000 8.438 0.000
0.000 0.000 3.063
K Li Ag
2 4 4
Cartesian
0.000 0.000 0.000
4.219 4.219 0.000
1.024 3.195 0.000
3.195 7.414 0.000
5.243 1.024 0.000
7.414 5.243 0.000
1.378 5.597 1.532
2.842 1.378 1.532
5.597 7.061 1.532
7.061 2.842 1.532
```

5.
VASP calculation (PBE) on a relaxed KLiAg2 crystal.

Energy above the most stable polymorph in this dataset = 215 meV per atom
ΔE_f = 0.16 eV per atom

Cell and atoms, written as POSCAR:
```
KLiAg2
1.0
-2.473 2.473 4.138
2.473 -2.473 4.138
2.473 2.473 -4.138
K Li Ag
1 1 2
Cartesian
0.000 0.000 0.000
0.000 0.000 4.138
2.473 0.000 2.069
0.000 2.473 2.069
```

6.
VASP calculation (PBE) on a relaxed KLiAg crystal.

Energy above the most stable polymorph in this dataset = 74 meV per atom
ΔE_f = 0.06 eV per atom

Cell and atoms, written as POSCAR:
```
KLiAg
1.0
4.646 0.000 0.000
-2.323 4.024 0.000
0.000 0.000 5.130
K Li Ag
1 1 1
Cartesian
0.000 0.000 0.000
2.323 1.341 2.559
0.000 2.683 2.572
```

7.
VASP calculation (PBE) on a relaxed KLiAg2 crystal.

Energy above the most stable polymorph in this dataset = 59 meV per atom
ΔE_f = 0.01 eV per atom

Cell and atoms, written as POSCAR:
```
KLiAg2
1.0
3.189 0.000 0.000
0.000 3.720 0.000
-0.044 0.000 7.958
K Li Ag
1 1 2
Cartesian
0.000 0.000 0.000
-0.022 0.000 3.979
1.576 1.860 2.548
1.568 1.860 5.409
```

8.
VASP calculation (PBE) on a relaxed KLiAg2 crystal.

Energy above the most stable polymorph in this dataset = 217 meV per atom
ΔE_f = 0.17 eV per atom

Cell and atoms, written as POSCAR:
```
KLiAg2
1.0
0.000 3.721 3.721
3.721 0.000 3.721
3.721 3.721 0.000
K Li Ag
1 1 2
Cartesian
0.000 0.000 0.000
3.721 3.721 3.721
1.861 1.861 1.861
5.582 5.582 5.582
```

9.
VASP calculation (PBE) on a relaxed K4LiAg crystal.

ΔE_f = 0.36 eV per atom

Cell and atoms, written as POSCAR:
```
K4LiAg
1.0
0.000 5.391 5.391
5.391 0.000 5.391
5.391 5.391 0.000
K Li Ag
4 1 1
Cartesian
4.050 4.050 4.050
6.732 6.732 4.050
6.732 4.050 6.732
4.050 6.732 6.732
0.000 0.000 0.000
8.087 8.087 8.087
```

10.
VASP calculation (PBE) on a relaxed K3LiAg6 crystal.

ΔE_f = 0.05 eV per atom

Cell and atoms, written as POSCAR:
```
K3LiAg6
1.0
6.291 -2.888 0.000
6.291 2.888 0.000
-3.054 0.000 7.054
K Li Ag
3 1 6
Cartesian
0.000 0.000 0.000
3.693 0.000 5.047
5.835 0.000 2.008
-1.527 0.000 3.527
2.868 1.468 1.406
1.146 0.000 3.225
6.660 1.468 5.648
2.868 -1.468 1.406
8.381 0.000 3.830
6.660 -1.468 5.648
```

11.
VASP calculation (PBE) on a relaxed KLi4Ag crystal.

ΔE_f = 0.10 eV per atom

Cell and atoms, written as POSCAR:
```
KLi4Ag
1.0
0.000 4.155 4.155
4.155 0.000 4.155
4.155 4.155 0.000
K Li Ag
1 4 1
Cartesian
0.000 0.000 0.000
5.173 3.138 3.138
3.138 5.173 3.138
3.138 3.138 5.173
5.173 5.173 5.173
2.078 2.078 2.078
```

12.
VASP calculation (PBE) on a relaxed K3LiAg8 crystal.

ΔE_f = -0.01 eV per atom

Cell and atoms, written as POSCAR:
```
K3LiAg8
1.0
2.910 1.680 9.608
-2.910 1.680 9.608
0.000 -3.360 9.608
K Li Ag
3 1 8
Cartesian
0.000 0.000 0.000
0.000 0.000 3.644
0.000 0.000 17.955
0.000 0.000 14.363
0.000 -1.671 6.529
-1.447 0.836 6.529
-1.438 -0.830 11.494
0.000 0.000 9.009
1.447 0.836 6.529
1.438 -0.830 11.494
0.000 1.660 11.494
0.000 0.000 23.434
```

| no. | calculated density (g/cm³) |
| --- | --- |
| 1 | 4.28 |
| 2 | 3.48 |
| 3 | 2.31 |
| 4 | 4.09 |
| 5 | 4.29 |
| 6 | 2.66 |
| 7 | 4.60 |
| 8 | 4.22 |
| 9 | 1.44 |
| 10 | 5.00 |
| 11 | 2.02 |
| 12 | 5.82 |